1.
# Y5Hg2Ir

Crystalline Y5Hg2Ir at its relaxed geometry (PBE, Alexandria via LeMat-Bulk).

a = 7.149 Å, b = 12.163 Å, c = 4.892 Å
α = 90.00°, β = 90.00°, γ = 90.00°
Sites, in units of the cell vectors:
Y: 0.000 0.000 0.000
Y: 0.142 0.293 0.000
Y: 0.176 0.585 0.500
Y: 0.324 0.085 0.500
Y: 0.358 0.793 0.000
Y: 0.500 0.500 0.000
Y: 0.642 0.207 0.000
Y: 0.676 0.915 0.500
Y: 0.824 0.415 0.500
Y: 0.858 0.707 0.000
Hg: 0.082 0.838 0.500
Hg: 0.418 0.338 0.500
Hg: 0.582 0.662 0.500
Hg: 0.918 0.162 0.500
Ir: 0.000 0.500 0.000
Ir: 0.500 0.000 0.000

Properties
For the total magnetic moment, the calculation gives 0.0 μB/f.u. The value obtained for the density is 8.1 g cm⁻³. Its space group is Pbam. The calculation puts the raw total energy at -0.4233 Ry per atom.


2.
# YHg2Ir2

Crystalline YHg2Ir2 at its relaxed geometry (PBE, Alexandria via LeMat-Bulk).

a = 7.200 Å, b = 7.200 Å, c = 3.944 Å
α = 90.00°, β = 90.00°, γ = 90.00°
Sites, in units of the cell vectors:
Y: 0.000 0.000 0.000
Y: 0.500 0.500 0.000
Hg: 0.170 0.330 0.500
Hg: 0.330 0.830 0.500
Hg: 0.670 0.170 0.500
Hg: 0.830 0.670 0.500
Ir: 0.127 0.627 0.000
Ir: 0.373 0.127 0.000
Ir: 0.627 0.873 0.000
Ir: 0.873 0.373 0.000

Properties
The calculation puts the offset from the most stable computed form at 29.8 meV/atom. For the total magnetic moment, the calculation gives 0.0 μB/f.u. The value obtained for the density is 14.2 g cm⁻³. Its space group is P4/mbm.